P:
# K3Ru, optimized geometry, DFT PBEsol
data_K3Ru
_symmetry_space_group_name_H-M 'P -6 m 2'
_symmetry_Int_Tables_number 187
_symmetry_space_group_name_Hall 'P -6 2'
_cell_length_a 3.5521
_cell_length_b 3.5521
_cell_length_c 13.3612
_cell_angle_alpha 90.00
_cell_angle_beta 90.00
_cell_angle_gamma 120.00
loop_
_atom_site_label
_atom_site_fract_x
_atom_site_fract_y
_atom_site_fract_z
K1 0.0000 0.0000 0.0000
K2 0.6667 0.3333 0.3139
Ru1 0.0000 0.0000 0.5000
# DOS(E_F) in states/eV per atom: 0.9838

***

Q:
# K3Ru, optimized geometry, DFT PBEsol
data_K3Ru
_symmetry_space_group_name_H-M 'P 4/m m m'
_symmetry_Int_Tables_number 123
_symmetry_space_group_name_Hall '-P 4 2'
_cell_length_a 3.4313
_cell_length_b 3.4313
_cell_length_c 12.7372
_cell_angle_alpha 90.00
_cell_angle_beta 90.00
_cell_angle_gamma 90.00
loop_
_atom_site_label
_atom_site_fract_x
_atom_site_fract_y
_atom_site_fract_z
K1 0.0000 0.0000 0.0000
K2 0.5000 0.5000 0.3245
Ru1 0.0000 0.0000 0.5000
# DOS(E_F) in states/eV per atom: 0.7526

***

What should be chosen as the most stable of them? Choose Q.

***

P:
# K2TaRu, optimized geometry, DFT PBEsol
data_K2TaRu
_symmetry_space_group_name_H-M 'I m m 2'
_symmetry_Int_Tables_number 44
_symmetry_space_group_name_Hall 'I 2 -2'
_cell_length_a 3.2690
_cell_length_b 6.3235
_cell_length_c 11.9668
_cell_angle_alpha 90.00
_cell_angle_beta 90.00
_cell_angle_gamma 90.00
loop_
_atom_site_label
_atom_site_fract_x
_atom_site_fract_y
_atom_site_fract_z
K1 0.0000 0.0000 0.0000
K2 0.0000 0.5000 0.2002
Ta1 0.0000 0.0000 0.3932
Ru1 0.0000 0.5000 0.7574
# DOS(E_F) in states/eV per atom: 0.7755

***

Q:
# K2TaRu, optimized geometry, DFT PBEsol
data_K2TaRu
_symmetry_space_group_name_H-M 'C 1 2/m 1'
_symmetry_Int_Tables_number 12
_symmetry_space_group_name_Hall '-C 2y'
_cell_length_a 21.0931
_cell_length_b 3.1439
_cell_length_c 3.9333
_cell_angle_alpha 90.00
_cell_angle_beta 100.61
_cell_angle_gamma 90.00
loop_
_atom_site_label
_atom_site_fract_x
_atom_site_fract_y
_atom_site_fract_z
K1 0.1485 0.0000 0.1492
Ta1 0.0000 0.0000 0.5000
Ru1 0.0000 0.5000 0.0000
# DOS(E_F) in states/eV per atom: 0.9497

***

What should be chosen as the most stable of them? Choose Q.